Density functional theory data (GGA-PBE) for an optimized crystal structure of BaNaGd.

a = 5.806 Å, b = 5.806 Å, c = 5.806 Å
α = 60.00°, β = 60.00°, γ = 60.00°
Positions (direct):
Na (0.000, 0.000, 0.000)
Ba (0.250, 0.250, 0.250)
Gd (0.750, 0.750, 0.750)

Total magnetization in μB/f.u.: 1.65
Excess energy over the best structure of this formula in the dataset in meV per atom: 0.0
Uncorrected energy in eV for the cell shown: -5.9
Calculated density in kg/m3: 3811